(1)
A relaxed structure of PmEr4Pb5. Source: Alexandria, functional PBE.

Values from the calculation:
M_tot	0.000	μB/atom
N(E_F)	17.53	states/eV/cell
E_tot	-4.46	eV per atom
formation energy	-0.307	eV per atom

Cell lengths 9.943, 9.943, 6.291 Å; angles 90.00, 90.00, 90.00 degrees
Space group I4 (No. 79)
Symmetry-distinct sites (fractional):
1 Pm 0.000 0.000 0.000
2 Er 0.104 0.702 0.498
3 Pb 0.000 0.000 0.500
4 Pb 0.099 0.694 0.998

=====

(2)
A relaxed structure of Pm3ErPb3. Source: Alexandria, functional PBE.

Values from the calculation:
M_tot	0.001	μB/atom
N(E_F)	48.03	states/eV/cell
E_tot	-4.67	eV per atom
formation energy	-0.391	eV per atom

Cell lengths 9.3294, 9.3294, 18.9102 Å; angles 90.00, 90.00, 120.00 degrees
Space group R-3 (No. 148, hexagonal axes)
Symmetry-distinct sites (fractional):
1 Pm 0.0057 0.7443 0.0890
2 Er 0.0000 0.0000 0.3315
3 Pb 0.0009 0.6099 0.9229

=====

(3)
A relaxed structure of PmEr2Pb. Source: Alexandria, functional PBE.

Values from the calculation:
M_tot	0.003	μB/atom
N(E_F)	5.77	states/eV/cell
E_tot	-4.67	eV per atom
offset from the most stable computed form	0.029	eV per atom
formation energy	-0.278	eV per atom

Cell lengths 4.887, 4.887, 4.846 Å; angles 90.00, 90.00, 90.00 degrees
Space group P4/mmm (No. 123)
Symmetry-distinct sites (fractional):
1 Pm 0.000 0.000 0.000
2 Er 0.000 0.500 0.500
3 Pb 0.500 0.500 0.000

=====

(4)
A relaxed structure of Pm3ErPb. Source: Alexandria, functional PBE.

Values from the calculation:
M_tot	0.000	μB/atom
N(E_F)	21.03	states/eV/cell
E_tot	-4.67	eV per atom
formation energy	-0.168	eV per atom

Cell lengths 8.904, 8.707, 9.888 Å; angles 90.00, 121.22, 90.00 degrees
Space group P2_1/c (No. 14)
Symmetry-distinct sites (fractional):
1 Pm 0.092 0.088 0.299
2 Pm 0.308 0.065 0.709
3 Pm 0.408 0.702 0.945
4 Er 0.259 0.066 0.038
5 Pb 0.098 0.748 0.041

=====

(5)
A relaxed structure of Pm5Er2Pb4. Source: Alexandria, functional PBE.

Values from the calculation:
M_tot	0.000	μB/atom
N(E_F)	23.40	states/eV/cell
E_tot	-4.46	eV per atom
formation energy	-0.121	eV per atom

Cell lengths 27.285, 3.561, 7.568 Å; angles 90.00, 92.41, 90.00 degrees
Space group C2/m (No. 12)
Symmetry-distinct sites (fractional):
1 Pm 0.000 0.000 0.000
2 Pm 0.140 0.500 0.843
3 Pm 0.237 0.500 0.215
4 Er 0.087 0.500 0.298
5 Pb 0.033 0.500 0.665
6 Pb 0.172 0.000 0.495

=====

(6)
A relaxed structure of PmEr2Pb. Source: Alexandria, functional PBE.

Values from the calculation:
M_tot	0.000	μB/atom
N(E_F)	13.21	states/eV/cell
E_tot	-4.34	eV per atom
offset from the most stable computed form	0.361	eV per atom
formation energy	0.054	eV per atom

Cell lengths 3.5366, 3.5366, 36.0322 Å; angles 90.00, 90.00, 120.00 degrees
Space group R-3m (No. 166, hexagonal axes)
Symmetry-distinct sites (fractional):
1 Pm 0.0000 0.0000 0.0000
2 Er 0.0000 0.0000 0.4126
3 Pb 0.0000 0.0000 0.5000

=====

> M_tot of number 5 (Pm5Er2Pb4)?

0.000 μB/atom